The following is a PBE calculation of an optimized crystal structure of La3Sc2Tl3, from the Alexandria database.

The value obtained for the calculated total energy is -4.61 eV per atom. Its space group is P6_3/mcm (193). The calculation puts the energy of formation from the pure elements at -0.289 eV/atom.

Cell lengths 6.4065, 9.2716, 9.2716 Å; angles 120.00, 90.00, 90.00 degrees
With the nearest neighbours (Å) after each atom.
Element x y z (fractional)
1 Sc 0.5000 0.3333 0.6667  2 Sc 3.20, 6 Tl 3.24
2 Tl 0.2500 0.5931 0.5931  5 La 3.23-3.54, 4 Sc 3.24
3 Tl 0.7500 0.5931 0.0000  5 La 3.23-3.54, 4 Sc 3.24
4 Tl 0.2500 0.0000 0.4069  5 La 3.23-3.54, 4 Sc 3.24
5 La 0.2500 0.0000 0.7554  5 Tl 3.23-3.54
6 Sc 0.0000 0.6667 0.3333  2 Sc 3.20, 6 Tl 3.24
7 Tl 0.7500 0.0000 0.5931  5 La 3.23-3.54, 4 Sc 3.24
8 Sc 0.0000 0.3333 0.6667  2 Sc 3.20, 6 Tl 3.24
9 La 0.7500 0.2446 0.0000  5 Tl 3.23-3.54
10 Tl 0.2500 0.4069 0.0000  5 La 3.23-3.54, 4 Sc 3.24
11 La 0.7500 0.7554 0.7554  5 Tl 3.23-3.54
12 La 0.7500 0.0000 0.2446  5 Tl 3.23-3.54
13 Tl 0.7500 0.4069 0.4069  5 La 3.23-3.54, 4 Sc 3.24
14 Sc 0.5000 0.6667 0.3333  2 Sc 3.20, 6 Tl 3.24
15 La 0.2500 0.2446 0.2446  5 Tl 3.23-3.54
16 La 0.2500 0.7554 0.0000  5 Tl 3.23-3.54

The following is a PBE calculation of an optimized crystal structure of LaSc2Tl, from the Alexandria database.

The value obtained for the calculated total energy is -5.12 eV per atom. Its space group is Pmm2 (25). Its relative energy among the computed polymorphs is 0.7 meV per atom. The calculation puts the energy of formation from the pure elements at -0.126 eV/atom.

Cell lengths 4.6120, 3.5195, 7.5898 Å; angles 62.38, 90.00, 90.00 degrees
With the nearest neighbours (Å) after each atom.
Element x y z (fractional)
1 Sc 0.0000 0.9751 0.0252  1 Tl 3.04, 4 Sc 3.26-3.27
2 Tl 0.0000 0.5223 0.4773  5 Sc 3.04-3.29
3 La 0.5000 0.7501 0.7493  6 Sc 3.36-3.44, 4 Tl 3.43, 2 La 3.52
4 Sc 0.5000 0.2525 0.2482  6 Sc 3.26-3.52, 4 Tl 3.28-3.29, 2 La 3.36-3.37

The following is a PBE calculation of an optimized crystal structure of La2ScTl, from the Alexandria database.

The value obtained for the calculated total energy is -4.78 eV per atom. Its space group is P4/mmm (123). Its relative energy among the computed polymorphs is 51.4 meV per atom. The calculation puts the energy of formation from the pure elements at -0.137 eV/atom.

Cell lengths 5.7055, 5.7055, 3.7991 Å; angles 90.00, 90.00, 90.00 degrees
With the nearest neighbours (Å) after each atom.
Element x y z (fractional)
1 Sc 0.5000 0.0000 0.5000  8 La 3.43, 2 Sc 3.80
2 La 0.0000 0.0000 0.0000  4 Sc 3.43, 4 Tl 3.43, 2 La 3.80
3 La 0.5000 0.5000 0.0000  4 Tl 3.43, 4 Sc 3.43, 2 La 3.80
4 Tl 0.0000 0.5000 0.5000  8 La 3.43, 2 Tl 3.80

The following is a PBE calculation of an optimized crystal structure of La5ScTl6, from the Alexandria database.

The value obtained for the calculated total energy is -4.15 eV per atom. Its space group is Immm (71). The calculation puts the energy of formation from the pure elements at -0.387 eV/atom.

Cell lengths 5.5531, 7.8087, 9.6135 Å; angles 113.96, 106.79, 90.00 degrees
With the nearest neighbours (Å) after each atom.
Element x y z (fractional)
1 Tl 0.1564 0.9233 0.3128  1 Sc 3.18, 7 La 3.34-3.52
2 Tl 0.5000 0.2217 0.0000  2 Sc 3.27, 6 La 3.44-3.53, 1 Tl 3.46
3 Tl 0.5000 0.7783 0.0000  2 Sc 3.27, 6 La 3.44-3.53, 1 Tl 3.46
4 La 0.3214 0.8214 0.6428  8 Tl 3.34-3.45
5 La 0.3370 0.3370 0.6740  8 Tl 3.47-3.52, 4 La 3.83-3.88
6 La 0.6786 0.1786 0.3572  8 Tl 3.34-3.45
7 Tl 0.8436 0.6104 0.6872  1 Sc 3.18, 7 La 3.34-3.52
8 La 0.6630 0.6630 0.3260  8 Tl 3.47-3.52, 4 La 3.83-3.88
9 Tl 0.1564 0.3896 0.3128  1 Sc 3.18, 7 La 3.34-3.52
10 Sc 0.0000 0.0000 0.0000  8 Tl 3.18-3.27
11 Tl 0.8436 0.0767 0.6872  1 Sc 3.18, 7 La 3.34-3.52
12 La 0.0000 0.5000 0.0000  8 Tl 3.34-3.53

The following is a PBE calculation of an optimized crystal structure of La2ScTl, from the Alexandria database.

The value obtained for the calculated total energy is -4.78 eV per atom. Its space group is Cmmm (65). Its relative energy among the computed polymorphs is 42.0 meV per atom. The calculation puts the energy of formation from the pure elements at -0.146 eV/atom.

Cell lengths 5.9791, 5.9791, 3.5818 Å; angles 90.00, 90.00, 109.47 degrees
With the nearest neighbours (Å) after each atom.
Element x y z (fractional)
1 Sc 0.5000 0.0000 0.5000  2 Tl 3.45, 8 La 3.48, 2 Sc 3.58
2 La 0.5000 0.5000 0.0000  4 La 3.45-3.58, 4 Tl 3.48, 4 Sc 3.48
3 La 0.0000 0.0000 0.0000  4 La 3.45-3.58, 4 Sc 3.48, 4 Tl 3.48
4 Tl 0.0000 0.5000 0.5000  2 Sc 3.45, 8 La 3.48, 2 Tl 3.58

The following is a PBE calculation of an optimized crystal structure of LaSc2Tl, from the Alexandria database.

The value obtained for the calculated total energy is -5.07 eV per atom. Its space group is Pmmm (47). Its relative energy among the computed polymorphs is 43.1 meV per atom. The calculation puts the energy of formation from the pure elements at -0.084 eV/atom.

Cell lengths 3.6384, 5.7003, 5.1928 Å; angles 90.00, 90.00, 90.00 degrees
With the nearest neighbours (Å) after each atom.
Element x y z (fractional)
1 Tl 0.5000 0.0000 0.5000  4 Sc 3.17, 4 La 3.38
2 Sc 0.0000 0.0000 0.0000  4 Tl 3.17, 4 Sc 3.38
3 La 0.0000 0.5000 0.5000  4 Sc 3.17, 4 Tl 3.38
4 Sc 0.5000 0.5000 0.0000  4 La 3.17, 4 Sc 3.38

The following is a PBE calculation of an optimized crystal structure of La4ScTl, from the Alexandria database.

The value obtained for the calculated total energy is -4.49 eV per atom. Its space group is F-43m (216). The calculation puts the energy of formation from the pure elements at 0.245 eV/atom.

Cell lengths 6.5783, 6.5783, 6.5783 Å; angles 60.00, 60.00, 60.00 degrees
With the nearest neighbours (Å) after each atom.
Element x y z (fractional)
1 La 0.3753 0.3753 0.3753  6 La 3.28-3.30
2 La 0.3753 0.3753 0.8740  6 La 3.28-3.30
3 Sc 0.7500 0.7500 0.7500  12 La 3.86, 4 Tl 4.03
4 La 0.3753 0.8740 0.3753  6 La 3.28-3.30
5 Tl 0.0000 0.0000 0.0000  12 La 3.86, 4 Sc 4.03
6 La 0.8740 0.3753 0.3753  6 La 3.28-3.30

The following is a PBE calculation of an optimized crystal structure of LaSc2Tl, from the Alexandria database.

The value obtained for the calculated total energy is -4.87 eV per atom. Its space group is I-42d (122). Its relative energy among the computed polymorphs is 243.2 meV per atom. The calculation puts the energy of formation from the pure elements at 0.116 eV/atom.

Cell lengths 4.5946, 4.5946, 11.3693 Å; angles 78.34, 78.34, 90.00 degrees
With the nearest neighbours (Å) after each atom.
Element x y z (fractional)
1 Sc 0.1098 0.6250 0.2500  2 Tl 3.15, 4 Sc 3.15-3.35, 2 La 3.20
2 Sc 0.6402 0.1250 0.2500  2 Tl 3.15, 4 Sc 3.15-3.35, 2 La 3.20
3 La 0.2500 0.7500 0.5000  4 Sc 3.20, 4 Tl 3.25
4 Tl 0.0000 0.0000 0.0000  4 Sc 3.15, 4 La 3.25
5 Sc 0.8750 0.8902 0.7500  2 Tl 3.15, 4 Sc 3.15-3.35, 2 La 3.20
6 Sc 0.3750 0.3598 0.7500  2 Tl 3.15, 4 Sc 3.15-3.35, 2 La 3.20
7 Tl 0.7500 0.2500 0.5000  4 Sc 3.15, 4 La 3.25
8 La 0.5000 0.5000 0.0000  4 Sc 3.20, 4 Tl 3.25

Look up the energy of formation from the pure elements of the first one. -0.289 eV/atom